Material: Tm4NiTe2
Method: DFT, PBE
State: optimized geometry

a = 4.133 Å, b = 7.798 Å, c = 12.041 Å
α = 90.00°, β = 90.00°, γ = 90.00°
Atoms (fractional coordinates):
Tm  0.000  0.640  0.804
Tm  0.000  0.360  0.196
Tm  0.000  0.140  0.696
Tm  0.000  0.860  0.304
Tm  0.500  0.806  0.558
Tm  0.500  0.194  0.442
Tm  0.500  0.694  0.058
Tm  0.500  0.306  0.942
Ni  0.000  0.000  0.500
Ni  0.000  0.500  0.000
Te  0.500  0.934  0.835
Te  0.500  0.066  0.165
Te  0.500  0.434  0.665
Te  0.500  0.566  0.335

Results
**Calculated density**: 8.468 g/cm3
**Energy relative to the elements, uncorrected**: -0.835 eV/atom
**Total energy**: -0.3758 Ry per atom

Material: Tm8Ni2Te
Method: DFT, PBE
State: optimized geometry

a = 5.538 Å, b = 7.635 Å, c = 7.635 Å
α = 113.47°, β = 97.26°, γ = 97.26°
Site moments in Bohr magnetons follow the coordinates.
Atoms (fractional coordinates):
Tm  0.902  0.923  0.661  0.10
Tm  0.902  0.661  0.923  0.10
Tm  0.295  0.605  0.605  0.11
Tm  0.500  0.751  0.249  0.04
Tm  0.500  0.249  0.751  0.04
Tm  0.705  0.395  0.395  0.11
Tm  0.098  0.339  0.077  0.10
Tm  0.098  0.077  0.339  0.10
Ni  0.000  0.303  0.697  0.03
Ni  0.000  0.697  0.303  0.03
Te  0.500  0.000  0.000  0.00

Results
**Calculated density**: 9.201 g/cm3
**Energy relative to the elements, uncorrected**: -0.285 eV/atom
**Total energy**: -0.3582 Ry per atom

Material: TmNiTe2
Method: DFT, PBE
State: optimized geometry

a = 3.738 Å, b = 3.738 Å, c = 9.161 Å
α = 78.23°, β = 78.23°, γ = 60.00°
Atoms (fractional coordinates):
Ni  0.500  0.500  0.500
Tm  0.000  0.000  0.000
Te  0.113  0.113  0.661
Te  0.887  0.887  0.339

Results
**Calculated density**: 7.443 g/cm3
**Energy relative to the elements, uncorrected**: -0.177 eV/atom
**Total energy**: -0.3169 Ry per atom

Material: U3NiTe6
Method: DFT, PBE
State: optimized geometry

a = 6.983 Å, b = 9.403 Å, c = 9.403 Å
α = 100.47°, β = 90.00°, γ = 90.00°
Site moments in Bohr magnetons follow the coordinates.
Atoms (fractional coordinates):
U  0.473  0.939  0.733  2.25
U  0.973  0.733  0.939  2.25
U  0.365  0.393  0.607  2.21
U  0.865  0.607  0.393  2.21
U  0.973  0.061  0.267  2.25
U  0.473  0.267  0.061  2.25
Ni  0.077  0.211  0.789  -0.42
Ni  0.577  0.789  0.211  -0.42
Te  0.170  0.704  0.629  -0.10
Te  0.670  0.629  0.704  -0.10
Te  0.204  0.452  0.912  -0.10
Te  0.704  0.912  0.452  -0.10
Te  0.153  0.041  0.959  -0.09
Te  0.695  0.229  0.771  -0.11
Te  0.195  0.771  0.229  -0.11
Te  0.653  0.959  0.041  -0.09
Te  0.204  0.088  0.548  -0.10
Te  0.704  0.548  0.088  -0.10
Te  0.170  0.371  0.296  -0.10
Te  0.670  0.296  0.371  -0.10

Results
**Calculated density**: 8.415 g/cm3
**Energy relative to the elements, uncorrected**: -0.500 eV/atom
**Total energy**: -0.4667 Ry per atom

Material: UNiTe3
Method: DFT, PBE
State: optimized geometry

a = 4.104 Å, b = 6.653 Å, c = 10.491 Å
α = 90.00°, β = 90.00°, γ = 107.95°
Site moments in Bohr magnetons follow the coordinates.
Atoms (fractional coordinates):
U  0.253  0.005  0.250  1.78
U  0.747  0.995  0.750  1.78
Ni  0.969  0.438  0.250  -0.15
Ni  0.031  0.562  0.750  -0.15
Te  0.847  0.194  0.063  -0.07
Te  0.153  0.806  0.937  -0.07
Te  0.847  0.194  0.437  -0.07
Te  0.153  0.806  0.563  -0.07
Te  0.574  0.648  0.250  -0.07
Te  0.426  0.352  0.750  -0.07

Results
**Calculated density**: 8.282 g/cm3
**Energy relative to the elements, uncorrected**: -0.380 eV/atom
**Total energy**: -0.4174 Ry per atom

Material: U2NiTe4
Method: DFT, PBE
State: optimized geometry

a = 4.847 Å, b = 6.271 Å, c = 6.271 Å
α = 104.95°, β = 90.00°, γ = 90.00°
Site moments in Bohr magnetons follow the coordinates.
Atoms (fractional coordinates):
U  0.000  0.755  0.245  2.26
U  0.000  0.245  0.755  2.26
Ni  0.500  0.500  0.500  -0.08
Te  0.000  0.733  0.733  -0.06
Te  0.000  0.267  0.267  -0.06
Te  0.500  0.000  0.500  -0.07
Te  0.500  0.500  0.000  -0.07

Results
**Calculated density**: 9.425 g/cm3
**Energy relative to the elements, uncorrected**: -0.290 eV/atom
**Total energy**: -0.4510 Ry per atom

Material: UNi2Te6
Method: DFT, PBE
State: optimized geometry

a = 8.021 Å, b = 8.581 Å, c = 8.581 Å
α = 68.27°, β = 72.71°, γ = 72.71°
Site moments in Bohr magnetons follow the coordinates.
Atoms (fractional coordinates):
U  0.250  0.194  0.806  1.84
U  0.750  0.806  0.194  1.84
Ni  0.258  0.600  0.761  0.01
Ni  0.242  0.239  0.400  0.01
Ni  0.742  0.400  0.239  0.01
Ni  0.758  0.761  0.600  0.01
Te  0.491  0.743  0.530  -0.04
Te  0.009  0.470  0.257  -0.04
Te  0.509  0.257  0.470  -0.04
Te  0.991  0.530  0.743  -0.04
Te  0.009  0.852  0.364  -0.02
Te  0.491  0.636  0.148  -0.02
Te  0.991  0.148  0.636  -0.02
Te  0.509  0.364  0.852  -0.02
Te  0.108  0.836  0.896  -0.02
Te  0.392  0.104  0.164  -0.02
Te  0.892  0.164  0.104  -0.02
Te  0.608  0.896  0.836  -0.02

Results
**Calculated density**: 7.272 g/cm3
**Energy relative to the elements, uncorrected**: -0.173 eV/atom
**Total energy**: -0.3533 Ry per atom

Material: UNiTe2
Method: DFT, PBE
State: optimized geometry

a = 4.042 Å, b = 8.561 Å, c = 11.634 Å
α = 90.00°, β = 90.00°, γ = 90.00°
Site moments in Bohr magnetons follow the coordinates.
Atoms (fractional coordinates):
U  0.750  0.817  0.666  2.29
U  0.250  0.683  0.166  2.29
U  0.250  0.183  0.334  2.29
U  0.750  0.317  0.834  2.29
Ni  0.750  0.962  0.437  -0.18
Ni  0.250  0.538  0.937  -0.18
Ni  0.250  0.038  0.563  -0.18
Ni  0.750  0.462  0.063  -0.18
Te  0.750  0.229  0.546  -0.06
Te  0.250  0.271  0.046  -0.06
Te  0.250  0.771  0.454  -0.06
Te  0.750  0.729  0.954  -0.06
Te  0.750  0.463  0.284  -0.08
Te  0.250  0.037  0.784  -0.08
Te  0.250  0.537  0.716  -0.08
Te  0.750  0.963  0.216  -0.08

Results
**Calculated density**: 9.107 g/cm3
**Energy relative to the elements, uncorrected**: -0.510 eV/atom
**Total energy**: -0.4666 Ry per atom
**Offset from the most stable computed form**: 0.0 meV/atom

Material: UNiTe2
Method: DFT, PBE
State: optimized geometry

a = 4.029 Å, b = 4.029 Å, c = 7.265 Å
α = 73.90°, β = 73.90°, γ = 60.00°
Site moments in Bohr magnetons follow the coordinates.
Atoms (fractional coordinates):
U  0.499  0.499  0.502  2.44
Ni  0.671  0.671  0.986  -0.55
Te  0.067  0.067  0.800  -0.11
Te  0.263  0.263  0.212  -0.12

Results
**Calculated density**: 9.472 g/cm3
**Energy relative to the elements, uncorrected**: -0.231 eV/atom
**Total energy**: -0.4461 Ry per atom
**Offset from the most stable computed form**: 278.7 meV/atom

Q: Among the records above, which one has the lowest energy relative to the elements, uncorrected?
A: Tm4NiTe2

Repeat the eighth record exactly.
Material: UNiTe2
Method: DFT, PBE
State: optimized geometry

a = 4.042 Å, b = 8.561 Å, c = 11.634 Å
α = 90.00°, β = 90.00°, γ = 90.00°
Site moments in Bohr magnetons follow the coordinates.
Atoms (fractional coordinates):
U  0.750  0.817  0.666  2.29
U  0.250  0.683  0.166  2.29
U  0.250  0.183  0.334  2.29
U  0.750  0.317  0.834  2.29
Ni  0.750  0.962  0.437  -0.18
Ni  0.250  0.538  0.937  -0.18
Ni  0.250  0.038  0.563  -0.18
Ni  0.750  0.462  0.063  -0.18
Te  0.750  0.229  0.546  -0.06
Te  0.250  0.271  0.046  -0.06
Te  0.250  0.771  0.454  -0.06
Te  0.750  0.729  0.954  -0.06
Te  0.750  0.463  0.284  -0.08
Te  0.250  0.037  0.784  -0.08
Te  0.250  0.537  0.716  -0.08
Te  0.750  0.963  0.216  -0.08

Results
**Calculated density**: 9.107 g/cm3
**Energy relative to the elements, uncorrected**: -0.510 eV/atom
**Total energy**: -0.4666 Ry per atom
**Offset from the most stable computed form**: 0.0 meV/atom

Q: Which of these has the highest total energy?
A: TmNiTe2

Q: Look up the energy relative to the elements, uncorrected of the second one.
A: -0.285 eV/atom